A plane-wave DFT calculation with PBEsol was carried out for a geometry-optimized Zr2SeNCl structure.

Formation energy (no corrections)   213 kJ/mol of formula units
Volume   97.5 Å³ per cell
Electronic total energy   -0.223 Ha/atom

Structure (CIF):
```
data_Zr2SeNCl
_cell_length_a 5.0094
_cell_length_b 5.0094
_cell_length_c 3.8861
_cell_angle_alpha 90.00
_cell_angle_beta 90.00
_cell_angle_gamma 90.00
_symmetry_space_group_name_H-M 'P 4/m m m'
_symmetry_Int_Tables_number 123
_symmetry_space_group_name_Hall '-P 4 2'
loop_
_atom_site_label
_atom_site_type_symbol
_atom_site_fract_x
_atom_site_fract_y
_atom_site_fract_z
_atom_site_occupancy
Zr1 Zr 0.0000 0.5000 0.0000 1
Se1 Se 0.0000 0.0000 0.0000 1
N1 N 0.0000 0.0000 0.5000 1
Cl1 Cl 0.5000 0.5000 0.5000 1
```